Computed, not measured: a crystal of CsLiSO4 relaxed with PBEsol at the SCAN level of DFT.

## Properties
Crystal system: monoclinic
Total moment (μB/atom): 0.00
Energy relative to the elements, uncorrected (meV/atom): -2146
ΔE to the lowest computed polymorph (meV/atom): 0
DFT total energy (eV per cell): -359.09

a = 5.403 Å, b = 8.922 Å, c = 10.740 Å
α = 90.00°, β = 120.02°, γ = 90.00°
Sites, in units of the cell vectors:
Cs: 0.038 0.001 0.279
Cs: 0.038 0.499 0.779
Cs: 0.962 0.501 0.221
Cs: 0.962 0.999 0.721
Li: 0.340 0.678 0.586
Li: 0.340 0.822 0.086
Li: 0.660 0.178 0.914
Li: 0.660 0.322 0.414
S: 0.328 0.201 0.081
S: 0.328 0.299 0.581
S: 0.672 0.701 0.419
S: 0.672 0.799 0.919
O: 0.036 0.248 0.968
O: 0.036 0.252 0.468
O: 0.344 0.036 0.092
O: 0.344 0.464 0.592
O: 0.389 0.235 0.722
O: 0.389 0.265 0.222
O: 0.460 0.741 0.957
O: 0.460 0.759 0.457
O: 0.540 0.241 0.543
O: 0.540 0.259 0.043
O: 0.611 0.735 0.778
O: 0.611 0.765 0.278
O: 0.656 0.536 0.408
O: 0.656 0.964 0.908
O: 0.964 0.748 0.532
O: 0.964 0.752 0.032


Computed, not measured: a crystal of CsLiSO4 relaxed with PBEsol at the SCAN level of DFT.

## Properties
Crystal system: orthorhombic
Total moment (μB/atom): 0.01
Energy relative to the elements, uncorrected (meV/atom): -2038
ΔE to the lowest computed polymorph (meV/atom): 108
DFT total energy (eV per cell): -356.08

a = 9.869 Å, b = 5.442 Å, c = 12.147 Å
α = 90.00°, β = 90.00°, γ = 90.00°
Sites, in units of the cell vectors:
Cs: 0.083 0.250 0.177
Cs: 0.417 0.750 0.677
Cs: 0.583 0.250 0.323
Cs: 0.917 0.750 0.823
Li: 0.116 0.750 0.521
Li: 0.384 0.250 0.021
Li: 0.616 0.750 0.979
Li: 0.884 0.250 0.479
S: 0.204 0.250 0.461
S: 0.296 0.750 0.961
S: 0.704 0.250 0.039
S: 0.796 0.750 0.539
O: 0.059 0.250 0.425
O: 0.208 0.750 0.863
O: 0.230 0.027 0.529
O: 0.230 0.473 0.529
O: 0.270 0.527 0.029
O: 0.270 0.973 0.029
O: 0.292 0.250 0.363
O: 0.441 0.750 0.925
O: 0.559 0.250 0.075
O: 0.708 0.750 0.637
O: 0.730 0.027 0.971
O: 0.730 0.473 0.971
O: 0.770 0.527 0.471
O: 0.770 0.973 0.471
O: 0.792 0.250 0.137
O: 0.941 0.750 0.575